Density functional theory data (PBE-GGA) for PmGaCo2H after structural relaxation.

Output
crystal system = orthorhombic
E = -5.35 eV per atom
total magnetic moment = 1.57 μB/f.u.
space-group type = Cmcm, No. 63

Cell and atoms, written as extended XYZ:
```
10
Lattice="1.880 -5.235 0.000 1.880 5.235 0.000 0.000 0.000 7.061" Properties=species:S:1:pos:R:3 pbc="T T T"
Pm 1.880 4.623 5.295
Pm 1.880 -4.623 1.765
Ga 1.880 2.922 1.765
Ga 1.880 -2.922 5.295
Co 1.880 1.697 3.907
Co 1.880 1.697 6.684
Co 1.880 -1.697 0.377
Co 1.880 -1.697 3.154
H 1.880 0.000 0.000
H 1.880 0.000 3.530
```